Record 1
The following is a GGA-PBE calculation of GdAsOsO after structural relaxation, from OQMD.

Unit cell a=4.1049 b=6.1529 c=5.7889 alpha=90.00 beta=90.00 gamma=90.00
Space group Pmc2_1 (No. 26)
One atom of each set of equivalent atoms:
1 Gd 0.0000 0.1791 0.0000
2 As 0.0000 0.3220 0.4719
3 Os 0.5000 0.4912 0.1836
4 O 0.5000 0.2523 0.9113

Output
Uncorrected energy   -7.375 eV/atom


Record 2
The following is a GGA-PBE calculation of ScAlCdCu after structural relaxation, from OQMD.

Unit cell a=6.5150 b=6.5150 c=6.5150 alpha=90.00 beta=90.00 gamma=90.00
Space group F-43m (No. 216)
One atom of each set of equivalent atoms:
1 Sc 0.0000 0.0000 0.0000
2 Al 0.0000 0.0000 0.5000
3 Cd 0.2500 0.2500 0.2500
4 Cu 0.2500 0.2500 0.7500

Output
Uncorrected energy   -3.903 eV/atom


| no. | energy above the most stable polymorph in this dataset (eV per formula unit) |
| --- | --- |
| 1 | 2.73 |
| 2 | 0.00 |